VASP calculation (PBEsol) on a relaxed BaOsSe2 crystal.

a b c (Å): 3.395 5.025 5.025
angles (deg): 90.00 90.00 90.00
Positions (direct):
Ba (0.500, 0.500, 0.500)
Os (0.500, 0.000, 0.000)
Se (0.000, 0.000, 0.500)
Se (0.000, 0.500, 0.000)

Summary:
The calculation puts the total energy at -5.330 eV/atom. The space group is P4/mmm, No. 123. Its uncorrected formation energy is 0.186 eV per atom.

***

VASP calculation (PBEsol) on a relaxed Ba2MgSe crystal.

a b c (Å): 5.445 6.004 5.445
angles (deg): 63.03 90.00 116.97
Positions (direct):
Ba (0.250, 0.500, 0.250)
Ba (0.750, 0.500, 0.750)
Mg (0.500, 0.000, 0.500)
Se (0.000, 0.000, 0.000)

Summary:
The calculation puts the total energy at -3.102 eV/atom. The space group is I4/mmm, No. 139. Its uncorrected formation energy is -0.635 eV per atom.

***

VASP calculation (PBEsol) on a relaxed GeHS2 crystal.

a b c (Å): 2.821 2.821 7.896
angles (deg): 79.71 79.71 60.00
Positions (direct):
H (0.500, 0.500, 0.500)
Ge (0.000, 0.000, 0.000)
S (0.891, 0.891, 0.328)
S (0.109, 0.109, 0.672)

Summary:
The calculation puts the total energy at -3.627 eV/atom. The space group is R-3m, No. 166.

***

VASP calculation (PBEsol) on a relaxed CuGe3Pt crystal.

a b c (Å): 4.509 4.509 4.509
angles (deg): 90.00 90.00 90.00
Positions (direct):
Ge (0.000, 0.500, 0.000)
Ge (0.000, 0.000, 0.500)
Ge (0.500, 0.000, 0.000)
Cu (0.000, 0.000, 0.000)
Pt (0.500, 0.500, 0.500)

Summary:
The calculation puts the total energy at -4.650 eV/atom. The space group is Pm-3m, No. 221. The energy relative to the elements comes out at 573 meV per atom.

***

VASP calculation (PBEsol) on a relaxed Mo3P crystal.

a b c (Å): 3.114 4.131 5.087
angles (deg): 113.95 107.82 90.00
Positions (direct):
Mo (0.259, 0.342, 0.518)
Mo (0.741, 0.825, 0.482)
Mo (0.500, 0.083, 0.000)
P (0.000, 0.583, 0.000)

Summary:
The calculation puts the total energy at -10.435 eV/atom. The space group is Immm, No. 71. The energy relative to the elements comes out at -161 meV per atom.

***

VASP calculation (PBEsol) on a relaxed Ca3ZnSe4 crystal.

a b c (Å): 6.285 6.285 6.285
angles (deg): 90.00 90.00 90.00
Positions (direct):
Zn (0.000, 0.000, 0.000)
Ca (0.000, 0.500, 0.500)
Ca (0.500, 0.500, 0.000)
Ca (0.500, 0.000, 0.500)
Se (0.772, 0.772, 0.228)
Se (0.772, 0.228, 0.772)
Se (0.228, 0.772, 0.772)
Se (0.228, 0.228, 0.228)

Summary:
The calculation puts the total energy at -4.327 eV/atom. The space group is P-43m, No. 215. Its uncorrected formation energy is -1.404 eV per atom.